VASP calculation (GGA-PBE) on a geometry-optimized Np2NiGe4Ir3 structure.

a = 4.1972 Å, b = 4.1972 Å, c = 10.1582 Å
α = 90.00°, β = 90.00°, γ = 90.00°
Each line ends with the local moment (μB).
Element x y z (fractional)
Np 0.5000 0.0000 0.2475  3.71
Np 0.0000 0.5000 0.7525  3.71
Ir 0.0000 0.0000 0.5000  0.08
Ge 0.0000 0.0000 0.0000  -0.01
Ir 0.5000 0.0000 0.8670  -0.12
Ge 0.5000 0.5000 0.0000  0.00
Ge 0.5000 0.0000 0.6276  -0.01
Ni 0.5000 0.5000 0.5000  0.24
Ge 0.0000 0.5000 0.3724  -0.01
Ir 0.0000 0.5000 0.1330  -0.12

**Calculated density**: 12.99 g/cm³
**Energy**: -8.056 eV/atom
**E_form**: -0.384 eV/atom